1.
The following is a DFT calculation (PBE-GGA) of FeSb2AsOs after structural relaxation.

Cell: 5.236 4.270 5.236 Å, 90.00 90.00 90.00°
Last column: magnetic moment on the atom in μB.
Element x y z (fractional)
Sb (0.000, 0.000, 0.500)  -0.02
Sb (0.500, 0.000, 0.000)  -0.02
As (0.000, 0.000, 0.000)  -0.02
Os (0.500, 0.500, 0.500)  1.37
Fe (0.000, 0.500, 0.000)  2.47

Values from the calculation:
final energy = -25.1 eV for the cell shown
formation energy from raw total energies = 1.4985 eV/atom
magnetization = 3.87 μB per formula unit
density of states at the Fermi level = 0.833 states/eV/atom

2.
The following is a DFT calculation (PBE-GGA) of FeAs2OsSe after structural relaxation.

Cell: 4.629 4.629 5.499 Å, 90.00 90.00 90.00°
Last column: magnetic moment on the atom in μB.
Element x y z (fractional)
As (0.000, 0.500, 0.000)  -0.03
As (0.500, 0.000, 0.000)  -0.03
Os (0.000, 0.000, 0.000)  -0.08
Fe (0.500, 0.500, 0.500)  3.37
Se (0.000, 0.000, 0.500)  0.06

Values from the calculation:
final energy = -27.4 eV for the cell shown
energy relative to the lowest polymorph listed for this composition = 0 meV/atom
formation energy from raw total energies = 1.0110 eV/atom
magnetization = 3.47 μB per formula unit
density of states at the Fermi level = 1.457 states/eV/atom

3.
The following is a DFT calculation (PBE-GGA) of FeAs2P after structural relaxation.

Cell: 4.441 4.441 4.441 Å, 120.17 120.17 89.70°
Last column: magnetic moment on the atom in μB.
Element x y z (fractional)
As (0.000, 0.000, 0.000)  0.01
As (0.250, 0.750, 0.500)  -0.07
Fe (0.500, 0.500, 0.000)  2.26
P (0.750, 0.250, 0.500)  -0.05

Values from the calculation:
final energy = -21.1 eV for the cell shown
magnetization = 1.95 μB per formula unit
density of states at the Fermi level = 0.776 states/eV/atom

4.
The following is a DFT calculation (PBE-GGA) of FeAsP2 after structural relaxation.

Cell: 2.964 2.964 6.919 Å, 90.00 90.00 90.00°
Last column: magnetic moment on the atom in μB.
Element x y z (fractional)
As (0.000, 0.000, 0.576)  -0.05
Fe (0.500, 0.500, 0.799)  1.12
P (0.000, 0.000, 0.977)  -0.01
P (0.500, 0.500, 0.148)  -0.02

Values from the calculation:
final energy = -23.4 eV for the cell shown
magnetization = 0.95 μB per formula unit
density of states at the Fermi level = 0.399 states/eV/atom